RbSi2Sn2: optimized geometry, PBE.

a b c (Å): 8.732 8.732 3.829
angles (deg): 90.00 90.00 90.00
Sites, in units of the cell vectors:
1 Rb 0.000 0.000 0.000
2 Rb 0.500 0.500 0.000
3 Si 0.105 0.395 0.000
4 Si 0.395 0.895 0.000
5 Si 0.605 0.105 0.000
6 Si 0.895 0.605 0.000
7 Sn 0.135 0.635 0.500
8 Sn 0.365 0.135 0.500
9 Sn 0.635 0.865 0.500
10 Sn 0.865 0.365 0.500

Calculated values
VASP energy   -18.89 eV/f.u.
Energy above the most stable polymorph in this dataset   0.27 eV/f.u.
Formation energy from raw total energies   0.19 eV/atom
Total magnetic moment   0.0 Bohr magnetons per cell

---

AcY4Tm6: optimized geometry, PBE.

a b c (Å): 5.681 5.681 25.520
angles (deg): 90.00 90.00 119.84
Sites, in units of the cell vectors:
1 Ac 0.169 0.831 0.750
2 Ac 0.831 0.169 0.250
3 Y 0.166 0.834 0.041
4 Y 0.166 0.834 0.459
5 Y 0.498 0.502 0.122
6 Y 0.498 0.502 0.378
7 Y 0.502 0.498 0.622
8 Y 0.502 0.498 0.878
9 Y 0.834 0.166 0.541
10 Y 0.834 0.166 0.959
11 Tm 0.164 0.836 0.180
12 Tm 0.164 0.836 0.320
13 Tm 0.168 0.832 0.600
14 Tm 0.168 0.832 0.900
15 Tm 0.497 0.503 0.250
16 Tm 0.500 0.500 0.000
17 Tm 0.500 0.500 0.500
18 Tm 0.503 0.497 0.750
19 Tm 0.832 0.168 0.100
20 Tm 0.832 0.168 0.400
21 Tm 0.836 0.164 0.680
22 Tm 0.836 0.164 0.820

Calculated values
VASP energy   -55.30 eV/f.u.
Energy above the most stable polymorph in this dataset   0.00 eV/f.u.
Total magnetic moment   0.0 Bohr magnetons per cell
Calculated formation energy   0.14 eV per atom

---

TbYMnTl: optimized geometry, PBE.

a b c (Å): 7.405 7.405 7.405
angles (deg): 90.00 90.00 90.00
Sites, in units of the cell vectors:
1 Tb 0.000 0.000 0.000
2 Tb 0.000 0.500 0.500
3 Tb 0.500 0.000 0.500
4 Tb 0.500 0.500 0.000
5 Y 0.000 0.000 0.500
6 Y 0.000 0.500 0.000
7 Y 0.500 0.000 0.000
8 Y 0.500 0.500 0.500
9 Mn 0.250 0.250 0.750
10 Mn 0.250 0.750 0.250
11 Mn 0.750 0.250 0.250
12 Mn 0.750 0.750 0.750
13 Tl 0.250 0.250 0.250
14 Tl 0.250 0.750 0.750
15 Tl 0.750 0.250 0.750
16 Tl 0.750 0.750 0.250

Calculated values
VASP energy   -22.74 eV/f.u.
Total magnetic moment   13.5 Bohr magnetons per cell
Calculated formation energy   -0.03 eV per atom

---

In9HgPb2: optimized geometry, PBE.

a b c (Å): 5.126 5.126 12.778
angles (deg): 90.00 90.00 90.00
Sites, in units of the cell vectors:
1 In 0.000 0.000 0.000
2 In 0.000 0.000 0.332
3 In 0.000 0.000 0.668
4 In 0.000 0.500 0.160
5 In 0.000 0.500 0.500
6 In 0.000 0.500 0.840
7 In 0.500 0.000 0.160
8 In 0.500 0.000 0.500
9 In 0.500 0.000 0.840
10 Hg 0.500 0.500 0.000
11 Pb 0.500 0.500 0.332
12 Pb 0.500 0.500 0.668

Calculated values
VASP energy   -32.09 eV/f.u.
Total magnetic moment   0.0 Bohr magnetons per cell
Calculated formation energy   0.02 eV per atom

---

Pm4TmGa5: optimized geometry, PBE.

a b c (Å): 3.631 3.631 18.267
angles (deg): 90.00 90.00 90.00
Sites, in units of the cell vectors:
1 Pm 0.000 0.000 0.102
2 Pm 0.000 0.000 0.306
3 Pm 0.000 0.000 0.694
4 Pm 0.000 0.000 0.898
5 Tm 0.000 0.000 0.500
6 Ga 0.500 0.500 0.000
7 Ga 0.500 0.500 0.204
8 Ga 0.500 0.500 0.410
9 Ga 0.500 0.500 0.590
10 Ga 0.500 0.500 0.796

Calculated values
VASP energy   -44.32 eV/f.u.
Total magnetic moment   0.0 Bohr magnetons per cell
Calculated formation energy   -0.57 eV per atom

---

MnBr: optimized geometry, PBE.

a b c (Å): 4.330 4.330 13.563
angles (deg): 90.00 90.00 120.00
Sites, in units of the cell vectors:
1 Mn 0.000 0.000 0.250
2 Mn 0.000 0.000 0.750
3 Mn 0.333 0.667 0.250
4 Mn 0.667 0.333 0.750
5 Br 0.333 0.667 0.626
6 Br 0.333 0.667 0.874
7 Br 0.667 0.333 0.126
8 Br 0.667 0.333 0.374

Calculated values
VASP energy   -10.15 eV/f.u.
Formation energy from raw total energies   0.35 eV/atom
Total magnetic moment   16.5 Bohr magnetons per cell

---

AcYNi2H6: optimized geometry, PBE.

a b c (Å): 6.502 6.502 6.502
angles (deg): 42.65 42.65 42.65
Sites, in units of the cell vectors:
1 Ac 0.000 0.000 0.000
2 Y 0.500 0.500 0.500
3 Ni 0.219 0.219 0.219
4 Ni 0.781 0.781 0.781
5 H 0.067 0.568 0.568
6 H 0.432 0.432 0.933
7 H 0.432 0.933 0.432
8 H 0.568 0.067 0.568
9 H 0.568 0.568 0.067
10 H 0.933 0.432 0.432

Calculated values
VASP energy   -46.29 eV/f.u.
Total magnetic moment   0.9 Bohr magnetons per cell

---

BaRe8: optimized geometry, PBE.

a b c (Å): 6.484 6.484 6.484
angles (deg): 96.04 96.04 142.14
Sites, in units of the cell vectors:
1 Ba 0.000 0.000 0.000
2 Re 0.000 0.357 0.357
3 Re 0.000 0.643 0.643
4 Re 0.304 0.304 0.609
5 Re 0.304 0.696 0.000
6 Re 0.357 0.000 0.357
7 Re 0.643 0.000 0.643
8 Re 0.696 0.304 0.000
9 Re 0.696 0.696 0.391

Calculated values
VASP energy   -96.87 eV/f.u.
Total magnetic moment   0.0 Bohr magnetons per cell
Calculated formation energy   0.52 eV per atom

---

PrSO5: optimized geometry, PBE.

a b c (Å): 4.654 4.910 4.927
angles (deg): 87.91 74.24 72.07
Sites, in units of the cell vectors:
1 Pr 0.000 0.000 0.000
2 S 0.798 0.538 0.585
3 O 0.002 0.656 0.361
4 O 0.447 0.095 0.070
5 O 0.468 0.723 0.646
6 O 0.832 0.237 0.502
7 O 0.907 0.520 0.849

Calculated values
VASP energy   -47.04 eV/f.u.
Formation energy from raw total energies   -1.91 eV/atom
Total magnetic moment   1.0 Bohr magnetons per cell

---

La6Ge2OsCl3: optimized geometry, PBE.

a b c (Å): 9.665 9.665 8.864
angles (deg): 103.04 103.04 25.73
Sites, in units of the cell vectors:
1 La 0.001 0.001 0.224
2 La 0.329 0.329 0.424
3 La 0.350 0.350 0.907
4 La 0.650 0.650 0.093
5 La 0.671 0.671 0.576
6 La 0.999 0.999 0.776
7 Ge 0.164 0.164 0.339
8 Ge 0.836 0.836 0.661
9 Os 0.500 0.500 0.000
10 Cl 0.174 0.174 0.838
11 Cl 0.500 0.500 0.500
12 Cl 0.826 0.826 0.162

Calculated values
VASP energy   -69.92 eV/f.u.
Formation energy from raw total energies   -1.20 eV/atom
Total magnetic moment   0.0 Bohr magnetons per cell

---

Mg2Zn5Pt4: optimized geometry, PBE.

a b c (Å): 9.536 8.919 5.021
angles (deg): 81.13 67.53 31.35
Sites, in units of the cell vectors:
1 Mg 0.136 0.136 0.864
2 Mg 0.864 0.864 0.136
3 Zn 0.000 0.000 0.500
4 Zn 0.250 0.250 0.250
5 Zn 0.500 0.500 0.000
6 Zn 0.500 0.500 0.500
7 Zn 0.750 0.750 0.750
8 Pt 0.204 0.545 0.455
9 Pt 0.455 0.796 0.204
10 Pt 0.545 0.204 0.796
11 Pt 0.796 0.455 0.545

Calculated values
VASP energy   -38.71 eV/f.u.
Total magnetic moment   0.0 Bohr magnetons per cell
Calculated formation energy   -0.45 eV per atom

---

Sr3TmCu2O6: optimized geometry, PBE.

a b c (Å): 6.016 6.016 6.442
angles (deg): 90.00 90.00 120.00
Sites, in units of the cell vectors:
1 Sr 0.000 0.000 0.000
2 Sr 0.333 0.667 0.632
3 Sr 0.667 0.333 0.368
4 Tm 0.000 0.000 0.500
5 Cu 0.333 0.667 0.177
6 Cu 0.667 0.333 0.823
7 O 0.166 0.332 0.294
8 O 0.166 0.834 0.294
9 O 0.332 0.166 0.706
10 O 0.668 0.834 0.294
11 O 0.834 0.166 0.706
12 O 0.834 0.668 0.706

Calculated values
VASP energy   -71.75 eV/f.u.
Formation energy from raw total energies   -2.02 eV/atom
Total magnetic moment   1.0 Bohr magnetons per cell

---

Nb2Al2Bi: optimized geometry, PBE.

a b c (Å): 7.261 7.261 3.806
angles (deg): 90.00 90.00 90.00
Sites, in units of the cell vectors:
1 Nb 0.134 0.366 0.000
2 Nb 0.366 0.866 0.000
3 Nb 0.634 0.134 0.000
4 Nb 0.866 0.634 0.000
5 Al 0.155 0.655 0.500
6 Al 0.345 0.155 0.500
7 Al 0.655 0.845 0.500
8 Al 0.845 0.345 0.500
9 Bi 0.000 0.000 0.000
10 Bi 0.500 0.500 0.000

Calculated values
VASP energy   -31.07 eV/f.u.
Energy above the most stable polymorph in this dataset   0.00 eV/f.u.
Total magnetic moment   0.0 Bohr magnetons per cell
Calculated formation energy   0.09 eV per atom

---

PmPr5Ag4: optimized geometry, PBE.

a b c (Å): 3.750 3.750 20.462
angles (deg): 90.00 90.00 90.00
Sites, in units of the cell vectors:
1 Pm 0.000 0.000 0.000
2 Pr 0.500 0.500 0.124
3 Pr 0.500 0.500 0.312
4 Pr 0.500 0.500 0.500
5 Pr 0.500 0.500 0.688
6 Pr 0.500 0.500 0.876
7 Ag 0.000 0.000 0.218
8 Ag 0.000 0.000 0.406
9 Ag 0.000 0.000 0.594
10 Ag 0.000 0.000 0.782

Calculated values
VASP energy   -42.00 eV/f.u.
Total magnetic moment   0.0 Bohr magnetons per cell
Calculated formation energy   -0.19 eV per atom

---

CdAgAsC2: optimized geometry, PBE.

a b c (Å): 4.234 4.234 5.475
angles (deg): 90.00 90.00 90.00
Sites, in units of the cell vectors:
1 Cd 0.000 0.000 0.000
2 Ag 0.500 0.500 0.500
3 As 0.000 0.000 0.500
4 C 0.000 0.500 0.000
5 C 0.500 0.000 0.000

Calculated values
VASP energy   -14.43 eV/f.u.
Total magnetic moment   0.5 Bohr magnetons per cell
Calculated formation energy   2.49 eV per atom

---

Al3Se: optimized geometry, PBE.

a b c (Å): 3.450 3.450 7.513
angles (deg): 90.00 90.00 120.00
Sites, in units of the cell vectors:
1 Al 0.000 0.000 0.000
2 Al 0.333 0.667 0.261
3 Al 0.333 0.667 0.739
4 Se 0.000 0.000 0.500

Calculated values
VASP energy   -14.88 eV/f.u.
Formation energy from raw total energies   -0.04 eV/atom
Total magnetic moment   0.0 Bohr magnetons per cell

---

Rb3I6O: optimized geometry, PBE.

a b c (Å): 9.596 9.596 9.596
angles (deg): 129.74 129.74 73.83
Sites, in units of the cell vectors:
1 Rb 0.000 0.000 0.000
2 Rb 0.250 0.750 0.500
3 Rb 0.750 0.250 0.500
4 I 0.230 0.230 0.000
5 I 0.296 0.296 0.593
6 I 0.296 0.704 0.000
7 I 0.704 0.296 0.000
8 I 0.704 0.704 0.407
9 I 0.770 0.770 0.000
10 O 0.500 0.500 0.000

Calculated values
VASP energy   -22.88 eV/f.u.
Formation energy from raw total energies   -0.57 eV/atom
Total magnetic moment   0.0 Bohr magnetons per cell

---

CsK2Rb: optimized geometry, PBE.

a b c (Å): 5.006 5.006 48.086
angles (deg): 90.00 90.00 120.00
Sites, in units of the cell vectors:
1 Cs 0.000 0.000 0.000
2 Cs 0.333 0.667 0.667
3 Cs 0.667 0.333 0.333
4 K 0.000 0.000 0.247
5 K 0.000 0.000 0.753
6 K 0.333 0.667 0.419
7 K 0.333 0.667 0.914
8 K 0.667 0.333 0.086
9 K 0.667 0.333 0.581
10 Rb 0.000 0.000 0.500
11 Rb 0.333 0.667 0.167
12 Rb 0.667 0.333 0.833

Calculated values
VASP energy   -3.95 eV/f.u.
Energy above the most stable polymorph in this dataset   0.04 eV/f.u.
Total magnetic moment   0.0 Bohr magnetons per cell
Calculated formation energy   0.02 eV per atom

---

LiPaGa4: optimized geometry, PBE.

a b c (Å): 5.439 5.439 5.439
angles (deg): 60.00 60.00 60.00
Sites, in units of the cell vectors:
1 Li 0.000 0.000 0.000
2 Pa 0.250 0.250 0.250
3 Ga 0.126 0.625 0.625
4 Ga 0.625 0.126 0.625
5 Ga 0.625 0.625 0.126
6 Ga 0.625 0.625 0.625

Calculated values
VASP energy   -24.26 eV/f.u.
Energy above the most stable polymorph in this dataset   0.92 eV/f.u.
Total magnetic moment   0.2 Bohr magnetons per cell
Calculated formation energy   -0.12 eV per atom

---

BaCuAsS3: optimized geometry, PBE.

a b c (Å): 6.750 6.750 8.656
angles (deg): 114.11 114.11 55.75
Sites, in units of the cell vectors:
1 Ba 0.207 0.207 0.205
2 Ba 0.793 0.793 0.795
3 Cu 0.426 0.426 0.760
4 Cu 0.574 0.574 0.240
5 As 0.192 0.808 0.500
6 As 0.808 0.192 0.500
7 S 0.173 0.716 0.174
8 S 0.222 0.222 0.588
9 S 0.284 0.827 0.826
10 S 0.716 0.173 0.174
11 S 0.778 0.778 0.412
12 S 0.827 0.284 0.826

Calculated values
VASP energy   -26.87 eV/f.u.
Formation energy from raw total energies   -0.64 eV/atom
Total magnetic moment   0.0 Bohr magnetons per cell

---

PmCu3Rh: optimized geometry, PBE.

a b c (Å): 7.142 7.142 4.530
angles (deg): 90.00 90.00 121.88
Sites, in units of the cell vectors:
1 Pm 0.109 0.891 0.750
2 Pm 0.891 0.109 0.250
3 Cu 0.090 0.578 0.250
4 Cu 0.422 0.910 0.250
5 Cu 0.500 0.500 0.000
6 Cu 0.500 0.500 0.500
7 Cu 0.578 0.090 0.750
8 Cu 0.910 0.422 0.750
9 Rh 0.321 0.679 0.750
10 Rh 0.679 0.321 0.250

Calculated values
VASP energy   -23.45 eV/f.u.
Total magnetic moment   0.0 Bohr magnetons per cell
Calculated formation energy   0.19 eV per atom

---

Cd2InTe: optimized geometry, PBE.

a b c (Å): 3.119 4.134 8.504
angles (deg): 90.00 90.00 90.00
Sites, in units of the cell vectors:
1 Cd 0.000 0.000 0.236
2 Cd 0.000 0.000 0.764
3 In 0.500 0.500 0.000
4 Te 0.000 0.500 0.500

Calculated values
VASP energy   -7.82 eV/f.u.
Energy above the most stable polymorph in this dataset   0.20 eV/f.u.
Formation energy from raw total energies   -0.03 eV/atom
Total magnetic moment   0.0 Bohr magnetons per cell

---

MnIn2W: optimized geometry, PBE.

a b c (Å): 4.110 4.110 8.670
angles (deg): 90.00 90.00 90.00
Sites, in units of the cell vectors:
1 Mn 0.000 0.000 0.000
2 Mn 0.500 0.500 0.500
3 In 0.000 0.500 0.250
4 In 0.000 0.500 0.750
5 In 0.500 0.000 0.250
6 In 0.500 0.000 0.750
7 W 0.000 0.000 0.500
8 W 0.500 0.500 0.000

Calculated values
VASP energy   -25.49 eV/f.u.
Energy above the most stable polymorph in this dataset   0.82 eV/f.u.
Total magnetic moment   8.3 Bohr magnetons per cell
Calculated formation energy   0.53 eV per atom

---

RbTiTe3: optimized geometry, PBE.

a b c (Å): 6.082 6.082 6.082
angles (deg): 90.00 90.00 90.00
Sites, in units of the cell vectors:
1 Rb 0.000 0.000 0.000
2 Ti 0.500 0.500 0.500
3 Te 0.000 0.000 0.500
4 Te 0.000 0.500 0.000
5 Te 0.500 0.000 0.000

Calculated values
VASP energy   -12.16 eV/f.u.
Energy above the most stable polymorph in this dataset   9.83 eV/f.u.
Formation energy from raw total energies   1.23 eV/atom
Total magnetic moment   1.1 Bohr magnetons per cell